No. 1
# PBE-GGA NbHg2Pd9, optimized geometry
data_NbHg2Pd9
_symmetry_space_group_name_H-M 'P 1'
_symmetry_Int_Tables_number 1
_cell_length_a 4.0023
_cell_length_b 4.0023
_cell_length_c 12.2684
_cell_angle_alpha 90.00
_cell_angle_beta 90.00
_cell_angle_gamma 90.00
loop_
_symmetry_equiv_pos_as_xyz
'x,y,z'
loop_
_atom_site_label
_atom_site_type_symbol
_atom_site_fract_x
_atom_site_fract_y
_atom_site_fract_z
_atom_site_occupancy
Pd1 Pd 0.5000 0.0000 0.8444 1
Pd2 Pd 0.5000 0.5000 0.6743 1
Pd3 Pd 0.5000 0.0000 0.5000 1
Nb1 Nb 0.0000 0.0000 0.0000 1
Pd4 Pd 0.5000 0.5000 0.3257 1
Pd5 Pd 0.0000 0.5000 0.8444 1
Pd6 Pd 0.0000 0.5000 0.1556 1
Pd7 Pd 0.5000 0.5000 0.0000 1
Hg1 Hg 0.0000 0.0000 0.6672 1
Hg2 Hg 0.0000 0.0000 0.3328 1
Pd8 Pd 0.5000 0.0000 0.1556 1
Pd9 Pd 0.0000 0.5000 0.5000 1
# * D(E_F): 0.87 states/eV per atom
# * energy relative to the elements: -24 kJ/mol of atoms
# * magnetization: 0.0000 μB/atom
# * SG: No. 123
# * calculated volume: 16.38 Å³/atom

No. 2
# PBE-GGA Nb2HgPd2, optimized geometry
data_Nb2HgPd2
_symmetry_space_group_name_H-M 'P 1'
_symmetry_Int_Tables_number 1
_cell_length_a 8.0649
_cell_length_b 8.0649
_cell_length_c 2.8427
_cell_angle_alpha 90.00
_cell_angle_beta 90.00
_cell_angle_gamma 90.00
loop_
_symmetry_equiv_pos_as_xyz
'x,y,z'
loop_
_atom_site_label
_atom_site_type_symbol
_atom_site_fract_x
_atom_site_fract_y
_atom_site_fract_z
_atom_site_occupancy
Nb1 Nb 0.3812 0.8812 0.0000 1
Pd1 Pd 0.6726 0.8274 0.5000 1
Pd2 Pd 0.1726 0.6726 0.5000 1
Pd3 Pd 0.8274 0.3274 0.5000 1
Nb2 Nb 0.6188 0.1188 0.0000 1
Nb3 Nb 0.8812 0.6188 0.0000 1
Pd4 Pd 0.3274 0.1726 0.5000 1
Hg1 Hg 0.5000 0.5000 0.0000 1
Hg2 Hg 0.0000 0.0000 0.0000 1
Nb4 Nb 0.1188 0.3812 0.0000 1
# * D(E_F): 0.56 states/eV per atom
# * energy relative to the elements: 2 kJ/mol of atoms
# * magnetization: 0.0000 μB/atom
# * SG: No. 127
# * calculated volume: 18.49 Å³/atom

No. 3
# PBE-GGA Nb4Hg2Pd, optimized geometry
data_Nb4Hg2Pd
_symmetry_space_group_name_H-M 'P 1'
_symmetry_Int_Tables_number 1
_cell_length_a 4.7597
_cell_length_b 4.7597
_cell_length_c 7.8960
_cell_angle_alpha 72.46
_cell_angle_beta 72.46
_cell_angle_gamma 90.00
loop_
_symmetry_equiv_pos_as_xyz
'x,y,z'
loop_
_atom_site_label
_atom_site_type_symbol
_atom_site_fract_x
_atom_site_fract_y
_atom_site_fract_z
_atom_site_occupancy
Nb1 Nb 0.8207 0.8207 0.3585 1
Nb2 Nb 0.5000 0.0000 0.0000 1
Nb3 Nb 0.1793 0.1793 0.6415 1
Nb4 Nb 0.0000 0.5000 0.0000 1
Hg1 Hg 0.3720 0.3720 0.2560 1
Pd1 Pd 0.0000 0.0000 0.0000 1
Hg2 Hg 0.6280 0.6280 0.7440 1
# * D(E_F): 1.35 states/eV per atom
# * energy relative to the elements: 113 kJ/mol of atoms
# * magnetization: 0.0000 μB/atom
# * SG: No. 139
# * calculated volume: 23.12 Å³/atom

No. 4
# PBE-GGA NbHg3Pd, optimized geometry
data_NbHg3Pd
_symmetry_space_group_name_H-M 'P 1'
_symmetry_Int_Tables_number 1
_cell_length_a 5.0378
_cell_length_b 5.0378
_cell_length_c 5.0378
_cell_angle_alpha 90.00
_cell_angle_beta 90.00
_cell_angle_gamma 90.00
loop_
_symmetry_equiv_pos_as_xyz
'x,y,z'
loop_
_atom_site_label
_atom_site_type_symbol
_atom_site_fract_x
_atom_site_fract_y
_atom_site_fract_z
_atom_site_occupancy
Pd1 Pd 0.0000 0.0000 0.0000 1
Hg1 Hg 0.0000 0.5000 0.0000 1
Nb1 Nb 0.5000 0.5000 0.5000 1
Hg2 Hg 0.5000 0.0000 0.0000 1
Hg3 Hg 0.0000 0.0000 0.5000 1
# * D(E_F): 0.87 states/eV per atom
# * energy relative to the elements: 93 kJ/mol of atoms
# * magnetization: 0.0000 μB/atom
# * SG: No. 221
# * calculated volume: 25.57 Å³/atom

No. 5
# PBE-GGA Nb3HgPd, optimized geometry
data_Nb3HgPd
_symmetry_space_group_name_H-M 'P 1'
_symmetry_Int_Tables_number 1
_cell_length_a 5.0335
_cell_length_b 5.0335
_cell_length_c 5.0335
_cell_angle_alpha 90.00
_cell_angle_beta 90.00
_cell_angle_gamma 90.00
loop_
_symmetry_equiv_pos_as_xyz
'x,y,z'
loop_
_atom_site_label
_atom_site_type_symbol
_atom_site_fract_x
_atom_site_fract_y
_atom_site_fract_z
_atom_site_occupancy
Nb1 Nb 0.5000 0.0000 0.0000 1
Hg1 Hg 0.0000 0.0000 0.0000 1
Nb2 Nb 0.0000 0.5000 0.0000 1
Nb3 Nb 0.0000 0.0000 0.5000 1
Pd1 Pd 0.5000 0.5000 0.5000 1
# * D(E_F): 1.43 states/eV per atom
# * energy relative to the elements: 195 kJ/mol of atoms
# * magnetization: 0.6126 μB/atom
# * SG: No. 221
# * calculated volume: 25.51 Å³/atom

No. 6
# PBE-GGA Nb2Hg2PdS6, optimized geometry
data_Nb2Hg2PdS6
_symmetry_space_group_name_H-M 'P 1'
_symmetry_Int_Tables_number 1
_cell_length_a 6.0450
_cell_length_b 6.0450
_cell_length_c 9.5629
_cell_angle_alpha 99.78
_cell_angle_beta 99.78
_cell_angle_gamma 122.82
loop_
_symmetry_equiv_pos_as_xyz
'x,y,z'
loop_
_atom_site_label
_atom_site_type_symbol
_atom_site_fract_x
_atom_site_fract_y
_atom_site_fract_z
_atom_site_occupancy
Hg1 Hg 0.2492 0.7508 0.0000 1
S1 S 0.0766 0.4203 0.6569 1
Nb1 Nb 0.3583 0.6417 0.5000 1
S2 S 0.4203 0.0766 0.6569 1
S3 S 0.5797 0.9234 0.3431 1
S4 S 0.9234 0.5797 0.3431 1
S5 S 0.2153 0.2153 0.3163 1
Nb2 Nb 0.6417 0.3583 0.5000 1
S6 S 0.7847 0.7847 0.6837 1
Pd1 Pd 0.0000 0.0000 0.5000 1
Hg2 Hg 0.7508 0.2492 0.0000 1
# * D(E_F): 0.33 states/eV per atom
# * magnetization: 0.0000 μB/atom
# * SG: No. 12
# * calculated volume: 24.96 Å³/atom
# * uncorrected formation energy: -5.87 eV/f.u.

No. 7
# PBE-GGA Nb2Hg2PdSe6, optimized geometry
data_Nb2Hg2PdSe6
_symmetry_space_group_name_H-M 'P 1'
_symmetry_Int_Tables_number 1
_cell_length_a 6.1448
_cell_length_b 6.1448
_cell_length_c 9.0763
_cell_angle_alpha 99.39
_cell_angle_beta 99.39
_cell_angle_gamma 117.87
loop_
_symmetry_equiv_pos_as_xyz
'x,y,z'
loop_
_atom_site_label
_atom_site_type_symbol
_atom_site_fract_x
_atom_site_fract_y
_atom_site_fract_z
_atom_site_occupancy
Se1 Se 0.2676 0.2676 0.3430 1
Nb1 Nb 0.3028 0.6972 0.5000 1
Hg1 Hg 0.1678 0.8322 0.0000 1
Se2 Se 0.8876 0.5635 0.3031 1
Pd1 Pd 0.0000 0.0000 0.5000 1
Se3 Se 0.7324 0.7324 0.6570 1
Hg2 Hg 0.8322 0.1678 0.0000 1
Nb2 Nb 0.6972 0.3028 0.5000 1
Se4 Se 0.4365 0.1124 0.6969 1
Se5 Se 0.1124 0.4365 0.6969 1
Se6 Se 0.5635 0.8876 0.3031 1
# * D(E_F): 0.51 states/eV per atom
# * magnetization: 0.0001 μB/atom
# * SG: No. 12
# * calculated volume: 26.13 Å³/atom
# * uncorrected formation energy: -5.06 eV/f.u.

No. 8
# PBE-GGA NbHgTePd2, optimized geometry
data_NbHgTePd2
_symmetry_space_group_name_H-M 'P 1'
_symmetry_Int_Tables_number 1
_cell_length_a 4.9242
_cell_length_b 5.3539
_cell_length_c 4.9242
_cell_angle_alpha 90.00
_cell_angle_beta 90.00
_cell_angle_gamma 90.00
loop_
_symmetry_equiv_pos_as_xyz
'x,y,z'
loop_
_atom_site_label
_atom_site_type_symbol
_atom_site_fract_x
_atom_site_fract_y
_atom_site_fract_z
_atom_site_occupancy
Nb1 Nb 0.0000 0.0000 0.0000 1
Pd1 Pd 0.0000 0.0000 0.5000 1
Hg1 Hg 0.0000 0.5000 0.0000 1
Pd2 Pd 0.5000 0.0000 0.0000 1
Te1 Te 0.5000 0.5000 0.5000 1
# * D(E_F): 1.02 states/eV per atom
# * magnetization: 0.0000 μB/atom
# * SG: No. 123
# * calculated volume: 25.96 Å³/atom
# * uncorrected formation energy: 4.43 eV/f.u.

The highest magnetization belongs to which entry?
Nb3HgPd

Which formula does entry 2 have?
Nb2HgPd2

Among the records above, which one has the highest calculated volume?
Nb2Hg2PdSe6

Which of these has the highest magnetization?
Nb3HgPd